Material: CaCdNi
Method: DFT, SCAN
State: single point on PBEsol structure

Summary:
As for the electronic total energy: -18.458 eV/atom. The calculation puts the energy of formation from the pure elements at 28 kJ/mol of atoms.

Geometry as CIF:
```
data_CaCdNi
_chemical_formula_sum 'Ca4 Cd4 Ni4'
_symmetry_space_group_name_H-M 'F -4 3 m'
_symmetry_Int_Tables_number 216
_symmetry_space_group_name_Hall 'F -4 2 3'
_cell_length_a 6.517
_cell_length_b 6.517
_cell_length_c 6.517
_cell_angle_alpha 90.00
_cell_angle_beta 90.00
_cell_angle_gamma 90.00
loop_
_atom_site_label
_atom_site_fract_x
_atom_site_fract_y
_atom_site_fract_z
Ca1 0.000 0.000 0.000
Cd1 0.250 0.250 0.750
Ni1 0.000 0.000 0.500
```

Material: TiNb3S
Method: DFT, SCAN
State: single point on PBEsol structure

Summary:
The formation energy from raw total energies is 0.046 eV per atom. As for the electronic total energy: -24.963 eV/atom.

Geometry as CIF:
```
data_TiNb3S
_chemical_formula_sum 'Ti1 Nb3 S1'
_symmetry_space_group_name_H-M 'P m -3 m'
_symmetry_Int_Tables_number 221
_symmetry_space_group_name_Hall '-P 4 2 3'
_cell_length_a 4.540
_cell_length_b 4.540
_cell_length_c 4.540
_cell_angle_alpha 90.00
_cell_angle_beta 90.00
_cell_angle_gamma 90.00
loop_
_atom_site_label
_atom_site_fract_x
_atom_site_fract_y
_atom_site_fract_z
Ti1 0.000 0.000 0.000
Nb1 0.000 0.500 0.500
S1 0.500 0.500 0.500
```

Material: Tl2HgPd
Method: DFT, SCAN
State: single point on PBEsol structure

Summary:
As for the electronic total energy: -61.420 eV/atom. The calculation puts the energy of formation from the pure elements at -1 kJ/mol of atoms.

Geometry as CIF:
```
data_Tl2HgPd
_chemical_formula_sum 'Tl8 Hg4 Pd4'
_symmetry_space_group_name_H-M 'I -4 2 d'
_symmetry_Int_Tables_number 122
_symmetry_space_group_name_Hall 'I -4 2bw'
_cell_length_a 8.730
_cell_length_b 8.730
_cell_length_c 5.387
_cell_angle_alpha 90.00
_cell_angle_beta 90.00
_cell_angle_gamma 90.00
loop_
_atom_site_label
_atom_site_fract_x
_atom_site_fract_y
_atom_site_fract_z
Tl1 0.165 0.250 0.125
Hg1 0.000 0.000 0.500
Pd1 0.000 0.000 0.000
```

Material: MgSn2Pb
Method: DFT, SCAN
State: single point on PBEsol structure

Summary:
As for the electronic total energy: -38.061 eV/atom. The calculation puts the energy of formation from the pure elements at 9 kJ/mol of atoms.

Geometry as CIF:
```
data_MgSn2Pb
_chemical_formula_sum 'Mg4 Sn8 Pb4'
_symmetry_space_group_name_H-M 'F m -3 m'
_symmetry_Int_Tables_number 225
_symmetry_space_group_name_Hall '-F 4 2 3'
_cell_length_a 7.500
_cell_length_b 7.500
_cell_length_c 7.500
_cell_angle_alpha 90.00
_cell_angle_beta 90.00
_cell_angle_gamma 90.00
loop_
_atom_site_label
_atom_site_fract_x
_atom_site_fract_y
_atom_site_fract_z
Mg1 0.000 0.000 0.000
Sn1 0.250 0.250 0.250
Pb1 0.000 0.000 0.500
```

Material: AsPbBr
Method: DFT, SCAN
State: single point on PBEsol structure

Summary:
The formation energy from raw total energies is 0.183 eV per atom. As for the electronic total energy: -38.294 eV/atom.

Geometry as CIF:
```
data_AsPbBr
_chemical_formula_sum 'As4 Pb4 Br4'
_symmetry_space_group_name_H-M 'F -4 3 m'
_symmetry_Int_Tables_number 216
_symmetry_space_group_name_Hall 'F -4 2 3'
_cell_length_a 7.049
_cell_length_b 7.049
_cell_length_c 7.049
_cell_angle_alpha 90.00
_cell_angle_beta 90.00
_cell_angle_gamma 90.00
loop_
_atom_site_label
_atom_site_fract_x
_atom_site_fract_y
_atom_site_fract_z
As1 0.000 0.000 0.000
Pb1 0.250 0.250 0.250
Br1 0.000 0.000 0.500
```

Material: Li2NiOF2
Method: DFT, SCAN
State: single point on PBEsol structure

Summary:
The formation energy from raw total energies is -2.486 eV per atom. As for the electronic total energy: -8.197 eV/atom.

Geometry as CIF:
```
data_Li2NiOF2
_chemical_formula_sum 'Li4 Ni2 O2 F4'
_symmetry_space_group_name_H-M 'P 4/n m m'
_symmetry_Int_Tables_number 129
_cell_length_a 2.844
_cell_length_b 2.844
_cell_length_c 12.437
_cell_angle_alpha 90.00
_cell_angle_beta 90.00
_cell_angle_gamma 90.00
loop_
_symmetry_equiv_pos_as_xyz
'x,y,z'
'-x,-y,-z'
'-y+1/2,x,z'
'y+1/2,-x,-z'
'-x+1/2,-y+1/2,z'
'x+1/2,y+1/2,-z'
'y,-x+1/2,z'
'-y,x+1/2,-z'
'x+1/2,-y,-z'
'-x+1/2,y,z'
'-y,-x,-z'
'y,x,z'
'-x,y+1/2,-z'
'x,-y+1/2,z'
'y+1/2,x+1/2,-z'
'-y+1/2,-x+1/2,z'
loop_
_atom_site_label
_atom_site_fract_x
_atom_site_fract_y
_atom_site_fract_z
Li1 0.250 0.250 0.079
Li2 0.250 0.250 0.757
Ni1 0.250 0.250 0.418
O1 0.250 0.250 0.585
F1 0.250 0.250 0.239
F2 0.250 0.250 0.920
```

Material: Mg2GeSe4
Method: DFT, SCAN
State: single point on PBEsol structure

Summary:
The formation energy from raw total energies is -0.966 eV per atom. As for the electronic total energy: -16.587 eV/atom.

Geometry as CIF:
```
data_Mg2GeSe4
_chemical_formula_sum 'Mg8 Ge4 Se16'
_symmetry_space_group_name_H-M 'P n m a'
_symmetry_Int_Tables_number 62
_cell_length_a 13.427
_cell_length_b 7.815
_cell_length_c 6.318
_cell_angle_alpha 90.00
_cell_angle_beta 90.00
_cell_angle_gamma 90.00
loop_
_symmetry_equiv_pos_as_xyz
'x,y,z'
'-x,-y,-z'
'-x+1/2,-y,z+1/2'
'x+1/2,y,-z+1/2'
'x+1/2,-y+1/2,-z+1/2'
'-x+1/2,y+1/2,z+1/2'
'-x,y+1/2,-z'
'x,-y+1/2,z'
loop_
_atom_site_label
_atom_site_fract_x
_atom_site_fract_y
_atom_site_fract_z
Mg1 0.000 0.000 0.000
Mg2 0.231 0.250 0.496
Ge1 0.089 0.750 0.410
Se1 0.072 0.250 0.749
Se2 0.093 0.750 0.780
Se3 0.169 0.515 0.243
```

Material: Co4TcAs
Method: DFT, SCAN
State: single point on PBEsol structure

Summary:
As for the electronic total energy: -20.395 eV/atom. The calculation puts the energy of formation from the pure elements at 34 kJ/mol of atoms.

Geometry as CIF:
```
data_Co4TcAs
_chemical_formula_sum 'Co16 Tc4 As4'
_symmetry_space_group_name_H-M 'F -4 3 m'
_symmetry_Int_Tables_number 216
_symmetry_space_group_name_Hall 'F -4 2 3'
_cell_length_a 6.520
_cell_length_b 6.520
_cell_length_c 6.520
_cell_angle_alpha 90.00
_cell_angle_beta 90.00
_cell_angle_gamma 90.00
loop_
_atom_site_label
_atom_site_fract_x
_atom_site_fract_y
_atom_site_fract_z
Co1 0.125 0.125 0.125
Tc1 0.250 0.250 0.750
As1 0.000 0.000 0.500
```

Material: Na2MoRuS
Method: DFT, SCAN
State: single point on PBEsol structure

Summary:
The formation energy from raw total energies is 0.936 eV per atom. As for the electronic total energy: -16.618 eV/atom.

Geometry as CIF:
```
data_Na2MoRuS
_chemical_formula_sum 'Na2 Mo1 Ru1 S1'
_symmetry_space_group_name_H-M 'P 4/m m m'
_symmetry_Int_Tables_number 123
_symmetry_space_group_name_Hall '-P 4 2'
_cell_length_a 5.458
_cell_length_b 5.458
_cell_length_c 4.234
_cell_angle_alpha 90.00
_cell_angle_beta 90.00
_cell_angle_gamma 90.00
loop_
_atom_site_label
_atom_site_fract_x
_atom_site_fract_y
_atom_site_fract_z
Na1 0.000 0.500 0.000
Mo1 0.000 0.000 0.500
Ru1 0.500 0.500 0.000
S1 0.500 0.500 0.500
```

Material: OsSe2NO
Method: DFT, SCAN
State: single point on PBEsol structure

Summary:
The formation energy from raw total energies is 1.750 eV per atom. As for the electronic total energy: -23.762 eV/atom.

Geometry as CIF:
```
data_OsSe2NO
_chemical_formula_sum 'Os1 Se2 N1 O1'
_symmetry_space_group_name_H-M 'P 4/m m m'
_symmetry_Int_Tables_number 123
_symmetry_space_group_name_Hall '-P 4 2'
_cell_length_a 4.199
_cell_length_b 4.199
_cell_length_c 3.662
_cell_angle_alpha 90.00
_cell_angle_beta 90.00
_cell_angle_gamma 90.00
loop_
_atom_site_label
_atom_site_fract_x
_atom_site_fract_y
_atom_site_fract_z
Os1 0.000 0.000 0.000
Se1 0.000 0.500 0.500
N1 0.500 0.500 0.000
O1 0.500 0.500 0.500
```

Material: CrHI2N
Method: DFT, SCAN
State: single point on PBEsol structure

Summary:
As for the electronic total energy: -19.892 eV/atom.

Geometry as CIF:
```
data_CrHI2N
_chemical_formula_sum 'Cr1 H1 I2 N1'
_symmetry_space_group_name_H-M 'P 4/m m m'
_symmetry_Int_Tables_number 123
_symmetry_space_group_name_Hall '-P 4 2'
_cell_length_a 5.652
_cell_length_b 5.652
_cell_length_c 2.968
_cell_angle_alpha 90.00
_cell_angle_beta 90.00
_cell_angle_gamma 90.00
loop_
_atom_site_label
_atom_site_fract_x
_atom_site_fract_y
_atom_site_fract_z
Cr1 0.000 0.000 0.000
H1 0.500 0.500 0.500
I1 0.000 0.500 0.500
N1 0.500 0.500 0.000
```

Material: Tc2HgBi
Method: DFT, SCAN
State: single point on PBEsol structure

Summary:
As for the electronic total energy: -53.408 eV/atom. The calculation puts the energy of formation from the pure elements at 78 kJ/mol of atoms.

Geometry as CIF:
```
data_Tc2HgBi
_chemical_formula_sum 'Tc8 Hg4 Bi4'
_symmetry_space_group_name_H-M 'F m -3 m'
_symmetry_Int_Tables_number 225
_symmetry_space_group_name_Hall '-F 4 2 3'
_cell_length_a 6.548
_cell_length_b 6.548
_cell_length_c 6.548
_cell_angle_alpha 90.00
_cell_angle_beta 90.00
_cell_angle_gamma 90.00
loop_
_atom_site_label
_atom_site_fract_x
_atom_site_fract_y
_atom_site_fract_z
Tc1 0.250 0.250 0.250
Hg1 0.000 0.000 0.000
Bi1 0.000 0.000 0.500
```

Repeat the fifth record exactly.
Material: AsPbBr
Method: DFT, SCAN
State: single point on PBEsol structure

Summary:
The formation energy from raw total energies is 0.183 eV per atom. As for the electronic total energy: -38.294 eV/atom.

Geometry as CIF:
```
data_AsPbBr
_chemical_formula_sum 'As4 Pb4 Br4'
_symmetry_space_group_name_H-M 'F -4 3 m'
_symmetry_Int_Tables_number 216
_symmetry_space_group_name_Hall 'F -4 2 3'
_cell_length_a 7.049
_cell_length_b 7.049
_cell_length_c 7.049
_cell_angle_alpha 90.00
_cell_angle_beta 90.00
_cell_angle_gamma 90.00
loop_
_atom_site_label
_atom_site_fract_x
_atom_site_fract_y
_atom_site_fract_z
As1 0.000 0.000 0.000
Pb1 0.250 0.250 0.250
Br1 0.000 0.000 0.500
```